# 1
Computed, not measured: NaIn2GeBr5 after structural relaxation at the PBE level of DFT.

POSCAR file:
```
NaIn2GeBr5
1.0
-3.801 -1.455 -1.198
5.886 -7.095 -2.541
-1.861 -6.474 13.767
In Br Na Ge
4 10 2 2
direct
0.131 0.261 0.302
0.088 0.177 0.647
0.869 0.739 0.802
0.912 0.823 0.147
0.078 0.156 0.064
0.504 0.008 0.272
0.265 0.530 0.660
0.700 0.400 0.911
0.618 0.236 0.489
0.735 0.470 0.160
0.382 0.764 0.989
0.300 0.600 0.411
0.496 0.992 0.772
0.922 0.844 0.564
0.541 0.083 0.947
0.459 0.917 0.447
0.219 0.438 0.032
0.781 0.562 0.532
```

# 2
Computed, not measured: NaIn2GeBr after structural relaxation at the PBE level of DFT.

POSCAR file:
```
NaIn2GeBr
1.0
-4.051 -3.650 2.403
4.369 -3.440 2.140
0.064 2.711 4.225
In Br Ge Na
2 1 1 1
direct
0.000 0.500 0.000
0.500 0.000 0.000
0.000 0.000 0.000
0.500 0.500 0.500
0.000 0.000 0.500
```

# 3
Computed, not measured: NaInGe2Br8 after structural relaxation at the PBE level of DFT.

POSCAR file:
```
NaInGe2Br8
1.0
7.214 0.129 0.154
0.189 6.515 -0.055
0.203 -0.056 8.482
Br Na Ge In
8 1 2 1
direct
0.315 0.233 0.973
0.342 0.272 0.516
0.166 0.788 0.219
0.685 0.767 0.027
0.863 0.270 0.245
0.658 0.728 0.484
0.834 0.212 0.781
0.137 0.730 0.755
0.000 0.000 0.500
0.439 0.472 0.749
0.561 0.528 0.251
0.000 0.000 0.000
```

# 4
Computed, not measured: NbIn2GeBr after structural relaxation at the PBE level of DFT.

POSCAR file:
```
NbIn2GeBr
1.0
5.691 0.000 0.000
0.000 4.865 0.000
0.000 0.000 5.691
Ge Br In Nb
1 1 2 1
direct
0.500 0.500 0.500
0.000 0.000 0.000
0.000 0.000 0.500
0.500 0.000 0.000
0.000 0.500 0.000
```

Uncorrected energy? In order: -2.999, -2.394, -2.996, -3.315 eV per atom.
Uncorrected formation energy? In order: -7.2, 1.1, -9.3, 5.3 eV per formula unit.